1.
A relaxed structure of Np2PaPt2S6. Source: Alexandria, functional PBE-GGA.

Cell: 6.7419 6.7419 5.9712 Å, 90.00 90.00 120.00°
With the nearest neighbours (Å) after each atom.
Positions (direct):
Np1 0.3333 0.6667 0.0000  6 S 2.72, 2 Pt 2.99
Np2 0.6667 0.3333 0.0000  6 S 2.72, 2 Pt 2.99
Pa1 0.0000 0.0000 0.0000  6 S 2.71
Pt1 0.3333 0.6667 0.5000  6 S 2.68, 2 Np 2.99
Pt2 0.6667 0.3333 0.5000  6 S 2.68, 2 Np 2.99
S1 0.0000 0.3332 0.2552  2 Pt 2.68, 1 Pa 2.71, 2 Np 2.72
S2 0.0000 0.6668 0.7448  2 Pt 2.68, 1 Pa 2.71, 2 Np 2.72
S3 0.3332 0.0000 0.2552  2 Pt 2.68, 1 Pa 2.71, 2 Np 2.72
S4 0.3332 0.3332 0.7448  2 Pt 2.68, 1 Pa 2.71, 2 Np 2.72
S5 0.6668 0.0000 0.7448  2 Pt 2.68, 1 Pa 2.71, 2 Np 2.72
S6 0.6668 0.6668 0.2552  2 Pt 2.68, 1 Pa 2.71, 2 Np 2.72

* total magnetization: 6.96 μB per formula unit
* DFT total energy: -82.210 eV for the cell shown
* E_form (uncorrected): -0.908 eV per atom
* DOS at the Fermi energy: 13.4 states/eV per cell



2.
A relaxed structure of NpPaTcPt. Source: Alexandria, functional PBE-GGA.

Cell: 4.8755 4.8755 4.8755 Å, 60.00 60.00 60.00°
With the nearest neighbours (Å) after each atom.
Positions (direct):
Np1 0.0000 0.0000 0.0000  4 Tc 2.99, 4 Pt 2.99
Pa1 0.5000 0.5000 0.5000  4 Pt 2.99, 4 Tc 2.99
Tc1 0.2500 0.2500 0.2500  4 Pa 2.99, 4 Np 2.99
Pt1 0.7500 0.7500 0.7500  4 Pa 2.99, 4 Np 2.99

* energy of formation: -253 meV per atom
* total magnetization: 4.05 μB per formula unit
* DFT total energy: -39.857 eV for the cell shown
* DOS at the Fermi energy: 7.8 states/eV per cell



3.
A relaxed structure of PuNpPa. Source: Alexandria, functional PBE-GGA.

Cell: 6.3131 6.3131 6.3131 Å, 150.25 150.25 42.57°
With the nearest neighbours (Å) after each atom.
Positions (direct):
Pu1 0.0000 0.0000 0.0000  4 Np 2.54
Np1 0.4061 0.4061 0.0000  4 Pu 2.54
Pa1 0.6994 0.6994 0.0000  4 Pa 3.24, 5 Pu 3.28-3.54, 5 Np 3.34-3.45

* energy of formation: 266 meV per atom
* total magnetization: 0.01 μB per formula unit
* DFT total energy: -35.969 eV for the cell shown
* relative energy among the computed polymorphs: 0.0 meV per atom



Which of these has the highest DFT total energy?
PuNpPa



Number 2 is which compound?
NpPaTcPt



Copy entry 1 word for word.
A relaxed structure of Np2PaPt2S6. Source: Alexandria, functional PBE-GGA.

Cell: 6.7419 6.7419 5.9712 Å, 90.00 90.00 120.00°
With the nearest neighbours (Å) after each atom.
Positions (direct):
Np1 0.3333 0.6667 0.0000  6 S 2.72, 2 Pt 2.99
Np2 0.6667 0.3333 0.0000  6 S 2.72, 2 Pt 2.99
Pa1 0.0000 0.0000 0.0000  6 S 2.71
Pt1 0.3333 0.6667 0.5000  6 S 2.68, 2 Np 2.99
Pt2 0.6667 0.3333 0.5000  6 S 2.68, 2 Np 2.99
S1 0.0000 0.3332 0.2552  2 Pt 2.68, 1 Pa 2.71, 2 Np 2.72
S2 0.0000 0.6668 0.7448  2 Pt 2.68, 1 Pa 2.71, 2 Np 2.72
S3 0.3332 0.0000 0.2552  2 Pt 2.68, 1 Pa 2.71, 2 Np 2.72
S4 0.3332 0.3332 0.7448  2 Pt 2.68, 1 Pa 2.71, 2 Np 2.72
S5 0.6668 0.0000 0.7448  2 Pt 2.68, 1 Pa 2.71, 2 Np 2.72
S6 0.6668 0.6668 0.2552  2 Pt 2.68, 1 Pa 2.71, 2 Np 2.72

* total magnetization: 6.96 μB per formula unit
* DFT total energy: -82.210 eV for the cell shown
* E_form (uncorrected): -0.908 eV per atom
* DOS at the Fermi energy: 13.4 states/eV per cell



Which value of DFT total energy does entry 2 give?
-39.857 eV for the cell shown